1.
Density functional theory data (PBE) for NdSi3Ir after structural relaxation.

Computed properties:
volume = 17.881 Å³/atom
DFT total energy = -6.791 eV per atom

abc: 5.7747 5.7747 5.7747
angles: 136.71 136.71 62.88
With the nearest neighbours (Å) after each atom.
Fractional coordinates of all 5 atoms:
Si 0.7680 0.2680 0.5000  2 Ir 2.39, 2 Si 2.59
Si 0.2680 0.7680 0.5000  2 Ir 2.39, 2 Si 2.59
Si 0.4179 0.4179 0.0000  1 Ir 2.37, 4 Si 2.59
Nd 0.0025 0.0025 0.0000  12 Si 3.13-3.37, 5 Ir 3.38-3.39
Ir 0.6585 0.6585 0.0000  5 Si 2.37-2.39

***

2.
Density functional theory data (PBE) for NdSi2Ir after structural relaxation.

Computed properties:
volume = 19.606 Å³/atom
DFT total energy = -6.627 eV per atom

abc: 3.6724 5.4309 7.8642
angles: 90.00 90.00 90.00
With the nearest neighbours (Å) after each atom.
Fractional coordinates of all 8 atoms:
Ir 0.0000 0.5120 0.7379  4 Si 2.42-2.53
Ir 0.0000 0.4880 0.2379  4 Si 2.42-2.53
Si 0.5000 0.4518 0.0176  2 Si 2.50, 2 Ir 2.53
Si 0.0000 0.2373 0.4922  2 Ir 2.42-2.44, 2 Si 2.50
Si 0.0000 0.7627 0.9922  2 Ir 2.42-2.44, 2 Si 2.50
Si 0.5000 0.5482 0.5176  2 Si 2.50, 2 Ir 2.53
Nd 0.5000 0.9833 0.2523  6 Si 2.97-3.15, 4 Ir 3.26-3.30
Nd 0.5000 0.0167 0.7523  6 Si 2.97-3.15, 4 Ir 3.26-3.30

***

3.
Density functional theory data (PBE) for NdSi4Ir3 after structural relaxation.

Computed properties:
volume = 16.613 Å³/atom
DFT total energy = -7.187 eV per atom

abc: 5.4326 3.7218 6.7582
angles: 90.00 103.43 90.00
With the nearest neighbours (Å) after each atom.
Fractional coordinates of all 8 atoms:
Si 0.8063 0.0000 0.9943  5 Ir 2.41-2.46, 2 Si 2.63
Si 0.7855 0.0000 0.4764  3 Ir 2.38-2.65, 2 Si 2.65
Si 0.4321 0.5000 0.4496  4 Ir 2.47-2.53, 3 Si 2.58-2.65
Si 0.1569 0.5000 0.0826  4 Ir 2.44-2.62, 3 Si 2.58-2.63
Ir 0.1252 0.0000 0.3081  6 Si 2.38-2.53
Ir 0.7844 0.5000 0.7561  6 Si 2.45-2.65
Ir 0.6265 0.5000 0.1527  4 Si 2.46-2.48
Nd 0.2831 0.0000 0.7803  6 Si 2.87-3.16, 1 Ir 3.11